# Pr12Dy7Er

An optimized crystal structure of Pr12Dy7Er (GGA-PBE, Alexandria).

The structure belongs to space group R-3m (No. 166, hexagonal axes); the cell edges are 19.7225, 19.7225 and 6.2876 Å and the angles 90.00°, 90.00° and 120.00°. Symmetry generates all atoms from Pr at (0.0000, 0.4117, 0.0000), Pr at (0.0981, 0.5491, 0.4669), Dy at (0.0000, 0.0000, 0.0000), Dy at (0.0815, 0.1629, 0.2955) and Er at (0.0000, 0.0000, 0.5000).

Its spin magnetization is 0.0 μB/cell. For the excess energy over the best structure of this formula in the dataset, the calculation gives 0.0 kJ/mol of atoms. The density of states at the Fermi level comes out at 1.400 states/eV per atom.



# MgMnCo

An optimized crystal structure of MgMnCo (GGA-PBE, Alexandria).

The structure belongs to space group Cmmm (No. 65); the cell edges are 3.7978, 10.7278 and 3.8410 Å and the angles 90.00°, 90.00° and 90.00°. Symmetry generates all atoms from Mg at (0.0000, 0.0000, 0.0000), Mg at (0.0000, 0.5000, 0.5000), Mn at (0.0000, 0.1956, 0.5000) and Co at (0.0000, 0.3187, 0.0000).

Its spin magnetization is 1.4 μB/cell. For the excess energy over the best structure of this formula in the dataset, the calculation gives 14.2 kJ/mol of atoms. The density of states at the Fermi level comes out at 1.056 states/eV per atom.



- Which of these has the lowest excess energy over the best structure of this formula in the dataset?
  Pr12Dy7Er



- Which value of spin magnetization does entry 2 give?
  1.4 μB/cell



- The lowest excess energy over the best structure of this formula in the dataset belongs to which entry?
  Pr12Dy7Er



- The lowest spin magnetization belongs to which entry?
  Pr12Dy7Er